Record 1
# GGA-PBE Ho2MgB2Ir5, optimized geometry
data_Ho2MgB2Ir5
_symmetry_space_group_name_H-M 'P 4/m b m'
_symmetry_Int_Tables_number 127
_symmetry_space_group_name_Hall '-P 4 2ab'
_cell_length_a 9.739
_cell_length_b 9.739
_cell_length_c 3.119
_cell_angle_alpha 90.00
_cell_angle_beta 90.00
_cell_angle_gamma 90.00
loop_
_atom_site_label
_atom_site_fract_x
_atom_site_fract_y
_atom_site_fract_z
Ho1 0.178 0.322 0.000
Mg1 0.000 0.000 0.000
B1 0.122 0.622 0.000
Ir1 0.000 0.500 0.500
Ir2 0.068 0.777 0.500
# * size of the total moment: 0.00 μB/f.u.
# * D(E_F): 6.312 states/eV per cell

=====

Record 2
# GGA-PBE HoNiBIr, optimized geometry
data_HoNiBIr
_symmetry_space_group_name_H-M 'I m m 2'
_symmetry_Int_Tables_number 44
_symmetry_space_group_name_Hall 'I 2 -2'
_cell_length_a 3.658
_cell_length_b 3.791
_cell_length_c 8.751
_cell_angle_alpha 90.00
_cell_angle_beta 90.00
_cell_angle_gamma 90.00
loop_
_atom_site_label
_atom_site_fract_x
_atom_site_fract_y
_atom_site_fract_z
Ho1 0.000 0.000 0.000
Ni1 0.000 0.000 0.349
B1 0.000 0.500 0.257
Ir1 0.000 0.000 0.647
# * size of the total moment: 0.00 μB/f.u.
# * D(E_F): 5.410 states/eV per cell

=====

Record 3
# GGA-PBE Ho3B2IrPt9, optimized geometry
data_Ho3B2IrPt9
_symmetry_space_group_name_H-M 'P -3 m 1'
_symmetry_Int_Tables_number 164
_symmetry_space_group_name_Hall '-P 3 2"'
_cell_length_a 5.6682
_cell_length_b 5.6682
_cell_length_c 9.5055
_cell_angle_alpha 90.00
_cell_angle_beta 90.00
_cell_angle_gamma 120.00
loop_
_atom_site_label
_atom_site_fract_x
_atom_site_fract_y
_atom_site_fract_z
Ho1 0.0000 0.0000 0.0000
Ho2 0.3333 0.6667 0.5914
B1 0.3333 0.6667 0.1465
Ir1 0.0000 0.0000 0.5000
Pt1 0.0000 0.5000 0.0000
Pt2 0.1617 0.3235 0.2761
# * size of the total moment: 0.00 μB/f.u.
# * D(E_F): 7.855 states/eV per cell

=====

Record 4
# GGA-PBE HoBIrRh2, optimized geometry
data_HoBIrRh2
_symmetry_space_group_name_H-M 'P 4/m m m'
_symmetry_Int_Tables_number 123
_symmetry_space_group_name_Hall '-P 4 2'
_cell_length_a 4.215
_cell_length_b 4.215
_cell_length_c 4.187
_cell_angle_alpha 90.00
_cell_angle_beta 90.00
_cell_angle_gamma 90.00
loop_
_atom_site_label
_atom_site_fract_x
_atom_site_fract_y
_atom_site_fract_z
Ho1 0.000 0.000 0.000
B1 0.500 0.500 0.500
Ir1 0.500 0.500 0.000
Rh1 0.000 0.500 0.500
# * size of the total moment: 0.00 μB/f.u.
# * D(E_F): 4.064 states/eV per cell

=====

Record 5
# GGA-PBE Ho3BIr3Rh2, optimized geometry
data_Ho3BIr3Rh2
_symmetry_space_group_name_H-M 'P -6 2 m'
_symmetry_Int_Tables_number 189
_symmetry_space_group_name_Hall 'P -6 -2'
_cell_length_a 7.2582
_cell_length_b 7.2582
_cell_length_c 3.3300
_cell_angle_alpha 90.00
_cell_angle_beta 90.00
_cell_angle_gamma 120.00
loop_
_atom_site_label
_atom_site_fract_x
_atom_site_fract_y
_atom_site_fract_z
Ho1 0.0000 0.6067 0.0000
B1 0.0000 0.0000 0.0000
Ir1 0.0000 0.2209 0.5000
Rh1 0.3333 0.6667 0.5000
# * size of the total moment: 0.00 μB/f.u.
# * D(E_F): 6.869 states/eV per cell

=====

Record 6
# GGA-PBE HoBIr2Rh, optimized geometry
data_HoBIr2Rh
_symmetry_space_group_name_H-M 'P 4/m m m'
_symmetry_Int_Tables_number 123
_symmetry_space_group_name_Hall '-P 4 2'
_cell_length_a 4.203
_cell_length_b 4.203
_cell_length_c 4.238
_cell_angle_alpha 90.00
_cell_angle_beta 90.00
_cell_angle_gamma 90.00
loop_
_atom_site_label
_atom_site_fract_x
_atom_site_fract_y
_atom_site_fract_z
Ho1 0.000 0.000 0.000
B1 0.500 0.500 0.500
Ir1 0.000 0.500 0.500
Rh1 0.500 0.500 0.000
# * size of the total moment: 0.00 μB/f.u.
# * D(E_F): 3.493 states/eV per cell

=====

Number 1: DFT formation energy -0.71 eV per atom. Number 2: DFT formation energy -0.47 eV per atom. Number 3: DFT formation energy -0.74 eV per atom. Number 4: DFT formation energy -0.77 eV per atom. Number 5: DFT formation energy -0.69 eV per atom. Number 6: DFT formation energy -0.72 eV per atom.